[1]
12
Lattice="-0.943 -1.791 4.508 -2.753 -3.583 -1.999 12.000 -8.691 -0.944" Properties=species:S:1:pos:R:3 comment="Sr2PrTl9, optimized geometry, DFT GGA-PBE" crystal_system=tetragonal final_energy_ev_per_cell=-32.73 formation_enthalpy_0k_ev_per_atom=-0.27 pbc="T T T"
Sr 3.951 -2.861 -0.311
Sr 8.049 -5.830 -0.633
Pr 0.000 0.000 0.000
Tl -1.848 -2.687 1.254
Tl 2.160 -5.590 0.939
Tl 6.145 -8.476 0.626
Tl 1.469 -2.301 2.101
Tl 5.529 -5.241 1.782
Tl 9.589 -8.181 1.463
Tl 0.564 -3.197 -1.152
Tl 4.624 -6.137 -1.472
Tl 8.684 -9.078 -1.791

***

[2]
12
Lattice="11.514 0.000 0.000 0.000 5.474 0.000 0.000 0.000 5.003" Properties=species:S:1:pos:R:3 comment="TlCd2, optimized geometry, DFT GGA-PBE" crystal_system=orthorhombic final_energy_ev_per_cell=-16.23 formation_enthalpy_0k_ev_per_atom=0.05 pbc="T T T"
Tl 0.000 3.872 1.251
Tl 0.000 1.601 3.752
Tl 5.757 1.136 1.251
Tl 5.757 4.338 3.752
Cd 9.402 0.938 1.251
Cd 9.402 4.535 3.752
Cd 2.112 0.938 1.251
Cd 2.112 4.535 3.752
Cd 3.645 3.675 1.251
Cd 3.645 1.799 3.752
Cd 7.869 3.675 1.251
Cd 7.869 1.799 3.752

***

[3]
12
Lattice="4.235 0.000 0.000 0.000 7.544 0.000 0.000 0.000 12.216" Properties=species:S:1:pos:R:3 comment="NaTb2Te3, optimized geometry, DFT GGA-PBE" crystal_system=orthorhombic raw_formation_energy_ev_per_fu=-7.2 final_energy_ev_per_cell=-54.47 relative_energy_mev_per_atom=105 pbc="T T T"
Na 0.000 0.002 10.647
Na 0.000 3.774 1.569
Tb 0.000 0.047 2.505
Tb 2.118 0.042 6.053
Tb 0.000 3.819 9.712
Tb 2.118 3.814 6.163
Te 2.118 1.385 0.820
Te 2.118 1.830 8.620
Te 0.000 1.985 4.796
Te 2.118 5.157 11.396
Te 2.118 5.602 3.597
Te 0.000 5.757 7.420

***

[4]
5
Lattice="5.554 0.000 0.000 0.000 5.554 0.000 0.000 0.000 5.554" Properties=species:S:1:pos:R:3 comment="La3NbTe, optimized geometry, DFT GGA-PBE" crystal_system=cubic raw_formation_energy_ev_per_fu=-0.4 final_energy_ev_per_cell=-28.41 relative_energy_mev_per_atom=0 pbc="T T T"
Nb 0.000 0.000 0.000
Te 2.777 2.777 2.777
La 0.000 2.777 0.000
La 0.000 0.000 2.777
La 2.777 0.000 0.000

***

[5]
5
Lattice="4.179 0.000 0.000 0.000 4.179 0.000 2.089 2.089 6.073" Properties=species:S:1:pos:R:3 comment="Fe2Sn2Bi, optimized geometry, DFT GGA-PBE" crystal_system=tetragonal final_energy_ev_per_cell=-26.77 formation_enthalpy_0k_ev_per_atom=0.41 pbc="T T T"
Fe 2.089 2.089 1.178
Fe 4.179 4.179 4.895
Bi 0.000 0.000 0.000
Sn 4.179 2.089 3.036
Sn 2.089 4.179 3.036

***

[6]
16
Lattice="1.187 -7.156 -2.674 -0.374 -3.302 8.671 -10.781 2.705 -0.847" Properties=species:S:1:pos:R:3 comment="Ba5Li2Ir, optimized geometry, DFT GGA-PBE" crystal_system=monoclinic final_energy_ev_per_cell=-44.81 formation_enthalpy_0k_ev_per_atom=-0.01 pbc="T T T"
Ba -8.000 -3.562 2.812
Ba -0.147 -3.284 6.201
Ba 0.959 -7.174 -0.204
Ba -5.209 -6.947 3.277
Ba -4.759 -0.806 1.873
Ba -5.216 -4.126 -0.621
Ba -4.752 -3.627 5.771
Ba -1.968 -4.191 2.338
Ba -8.150 0.119 -0.765
Ba -1.819 -7.872 5.915
Li -8.560 0.209 2.882
Li -7.978 -6.078 5.485
Li -1.408 -7.962 2.268
Li -1.990 -1.675 -0.335
Ir -5.391 1.352 -0.424
Ir -4.984 -3.876 2.575

***

[7]
4
Lattice="-3.948 0.700 -1.597 -3.431 -1.878 1.826 -3.362 6.255 5.218" Properties=species:S:1:pos:R:3 comment="Eu2GaI, optimized geometry, DFT GGA-PBE" crystal_system=trigonal raw_formation_energy_ev_per_fu=-3.1 final_energy_ev_per_cell=-28.19 relative_energy_mev_per_atom=0 pbc="T T T"
Eu -8.080 3.985 4.223
Eu -2.661 1.091 1.224
I -5.370 2.538 2.723
Ga 0.000 0.000 0.000